1.
VASP calculation (PBE) on a relaxed structure of Os2RuAu.

Cell: 9.3514 9.3514 9.3514 Å, 16.92 16.92 16.92°
With the nearest neighbours (Å) after each atom.
Fractional coordinates of all 4 atoms:
Au (0.7500, 0.7500, 0.7500)  6 Au 2.75, 6 Os 2.94
Os (0.5060, 0.5060, 0.5060)  3 Ru 2.66, 6 Os 2.75, 3 Au 2.94
Os (0.9940, 0.9940, 0.9940)  3 Ru 2.66, 6 Os 2.75, 3 Au 2.94
Ru (0.2500, 0.2500, 0.2500)  6 Os 2.66, 6 Ru 2.75

- Formation energy: 0.3176 eV per atom
- E above lowest polymorph: 0.039 eV/atom
- Symmetry: R-3m

2.
VASP calculation (PBE) on a relaxed structure of Tl2SnS3.

Cell: 12.0010 12.0010 7.5299 Å, 89.05 89.05 18.75°
With the nearest neighbours (Å) after each atom.
Fractional coordinates of all 12 atoms:
S (0.0883, 0.0883, 0.9962)  1 Sn 2.39
S (0.9107, 0.9107, 0.5081)  1 Sn 2.39
Sn (0.1503, 0.1503, 0.7419)  4 S 2.39-2.49
S (0.2846, 0.2846, 0.2591)  2 Sn 2.49
S (0.9117, 0.9117, 0.0038)  1 Sn 2.39
S (0.0893, 0.0893, 0.4919)  1 Sn 2.39
Tl (0.6580, 0.6580, 0.2396)  4 S 3.16
Tl (0.3420, 0.3420, 0.7604)  4 S 3.16
Sn (0.8497, 0.8497, 0.2581)  4 S 2.39-2.49
Tl (0.5129, 0.5129, 0.7484)  8 S 3.26-3.62
S (0.7154, 0.7154, 0.7409)  2 Sn 2.49
Tl (0.4871, 0.4871, 0.2516)  8 S 3.26-3.62

- E above lowest polymorph: 0.000 eV/atom
- Raw formation energy: -392 meV/atom
- Symmetry: C2/m

3.
VASP calculation (PBE) on a relaxed structure of Tl2NiRu.

Cell: 5.5031 5.5031 5.5031 Å, 138.28 138.28 60.48°
With the nearest neighbours (Å) after each atom.
Fractional coordinates of all 4 atoms:
Ru (0.7500, 0.2500, 0.5000)  8 Tl 2.77-3.08, 4 Ni 3.08
Tl (0.0000, 0.0000, 0.0000)  4 Ni 2.77, 4 Ru 3.08, 4 Tl 3.08
Tl (0.2500, 0.7500, 0.5000)  4 Ru 2.77, 4 Ni 3.08, 4 Tl 3.08
Ni (0.5000, 0.5000, 0.0000)  8 Tl 2.77-3.08, 4 Ru 3.08

- Formation energy: 0.5964 eV per atom
- E above lowest polymorph: 0.170 eV/atom
- Symmetry: I-4m2

4.
VASP calculation (PBE) on a relaxed structure of LiLaTh2N4.

Cell: 3.6623 6.2192 11.9118 Å, 90.00 90.00 107.12°
With the nearest neighbours (Å) after each atom.
Fractional coordinates of all 16 atoms:
Li (0.8352, 0.6704, 0.7500)  2 N 1.99
N (0.7406, 0.4812, 0.6125)  1 Li 1.99
N (0.5456, 0.0912, 0.2500)  2 Li 2.32, 2 Th 2.49, 2 La 2.52
N (0.2594, 0.5188, 0.1125)  1 Li 1.99
Th (0.3678, 0.7357, 0.5595)  6 N 2.42-2.51
Th (0.6322, 0.2643, 0.4405)  6 N 2.42-2.51
La (0.9002, 0.8004, 0.2500)  2 N 2.52
Th (0.3678, 0.7357, 0.9405)  6 N 2.42-2.51
N (0.0000, 0.0000, 0.5000)  4 Th 2.51
N (0.7406, 0.4812, 0.8875)  1 Li 1.99
N (0.2594, 0.5188, 0.3875)  1 Li 1.99
Th (0.6322, 0.2643, 0.0595)  6 N 2.42-2.51
N (0.0000, 0.0000, 0.0000)  4 Th 2.51
La (0.0998, 0.1996, 0.7500)  2 N 2.52
Li (0.1648, 0.3296, 0.2500)  2 N 1.99
N (0.4544, 0.9088, 0.7500)  2 Li 2.32, 2 Th 2.49, 2 La 2.52

- Raw formation energy: -1364 meV/atom
- Symmetry: Cmcm

5.
VASP calculation (PBE) on a relaxed structure of UAuSe2.

Cell: 4.1182 4.1182 8.4870 Å, 75.96 75.96 60.00°
With the nearest neighbours (Å) after each atom.
Fractional coordinates of all 4 atoms:
Se (0.1002, 0.1002, 0.6995)  1 Au 2.45
U (0.5000, 0.5000, 0.5000)  6 Se 2.88
Se (0.8998, 0.8998, 0.3005)  1 Au 2.45
Au (0.0000, 0.0000, 0.0000)  2 Se 2.45

- Raw formation energy: -599 meV/atom
- Symmetry: R-3m

6.
VASP calculation (PBE) on a relaxed structure of TbEr3Tl3.

Cell: 5.2141 9.3407 9.3407 Å, 120.00 90.00 90.00°
With the nearest neighbours (Å) after each atom.
Fractional coordinates of all 14 atoms:
Tl (0.2500, 0.3766, 0.4498)  4 Er 3.08-3.38, 2 Tl 3.29, 3 Tb 3.39-3.45
Er (0.7500, 0.0029, 0.7708)  4 Tl 3.08-3.38, 4 Er 3.38
Er (0.7500, 0.7679, 0.9971)  4 Tl 3.08-3.38, 4 Er 3.38
Tl (0.7500, 0.4498, 0.0731)  4 Er 3.08-3.38, 2 Tl 3.29, 3 Tb 3.39-3.45
Er (0.2500, 0.2321, 0.0029)  4 Tl 3.08-3.38, 4 Er 3.38
Er (0.2500, 0.9971, 0.2292)  4 Tl 3.08-3.38, 4 Er 3.38
Tl (0.2500, 0.0731, 0.6234)  4 Er 3.08-3.38, 2 Tl 3.29, 3 Tb 3.39-3.45
Er (0.7500, 0.2292, 0.2321)  4 Tl 3.08-3.38, 4 Er 3.38
Tb (0.2500, 0.6667, 0.3333)  9 Tl 3.39-3.45, 3 Er 3.67
Tb (0.7500, 0.3333, 0.6667)  9 Tl 3.39-3.45, 3 Er 3.67
Tl (0.7500, 0.6234, 0.5502)  4 Er 3.08-3.38, 2 Tl 3.29, 3 Tb 3.39-3.45
Tl (0.7500, 0.9269, 0.3766)  4 Er 3.08-3.38, 2 Tl 3.29, 3 Tb 3.39-3.45
Tl (0.2500, 0.5502, 0.9269)  4 Er 3.08-3.38, 2 Tl 3.29, 3 Tb 3.39-3.45
Er (0.2500, 0.7708, 0.7679)  4 Tl 3.08-3.38, 4 Er 3.38

- Formation energy: -0.2185 eV per atom
- E above lowest polymorph: 0.015 eV/atom
- Symmetry: P6_3/m

Copy entry 5 word for word.
VASP calculation (PBE) on a relaxed structure of UAuSe2.

Cell: 4.1182 4.1182 8.4870 Å, 75.96 75.96 60.00°
With the nearest neighbours (Å) after each atom.
Fractional coordinates of all 4 atoms:
Se (0.1002, 0.1002, 0.6995)  1 Au 2.45
U (0.5000, 0.5000, 0.5000)  6 Se 2.88
Se (0.8998, 0.8998, 0.3005)  1 Au 2.45
Au (0.0000, 0.0000, 0.0000)  2 Se 2.45

- Raw formation energy: -599 meV/atom
- Symmetry: R-3m